# Zn2CoCuP

Zn2CoCuP after structural relaxation (PBE, Alexandria via LeMat-Bulk).

As for the theoretical density: 5.5 g cm⁻³. The total DFT energy (no corrections) is -14.69 eV per formula unit. The volume comes out at 17.2 A^3/atom. The calculation puts the density of states at the Fermi level at 0.90 states/eV/atom. The magnetization comes out at 0.0 μB per cell. The calculated formation energy is 0.8940 eV per atom.

The structure belongs to space group P4/mmm (No. 123); the cell edges are 4.4172, 4.4172 and 4.4077 Å and the angles 90.00°, 90.00° and 90.00°. The asymmetric unit holds Zn at (0.0000, 0.5000, 0.0000), Co at (0.0000, 0.0000, 0.5000), Cu at (0.0000, 0.0000, 0.0000) and P at (0.5000, 0.5000, 0.5000).

=====

# Pa2Co15Cu2

Pa2Co15Cu2 after structural relaxation (PBE, Alexandria via LeMat-Bulk).

As for the theoretical density: 10.2 g cm⁻³. The total DFT energy (no corrections) is -135.60 eV per formula unit. The volume comes out at 12.6 A^3/atom. The calculation puts the density of states at the Fermi level at 1.18 states/eV/atom. The magnetization comes out at 53.9 μB per cell. The calculated formation energy is -0.0962 eV per atom.

The structure belongs to space group R-3m (No. 166, hexagonal axes); the cell edges are 8.2867, 8.2867 and 12.0829 Å and the angles 90.00°, 90.00° and 120.00°. The asymmetric unit holds Pa at (0.0000, 0.0000, 0.1544), Co at (0.0000, 0.2899, 0.5000), Co at (0.0000, 0.5000, 0.0000), Co at (0.0028, 0.5014, 0.6486) and Cu at (0.0000, 0.0000, 0.3993).

=====

# PaCoCu

PaCoCu after structural relaxation (PBE, Alexandria via LeMat-Bulk).

As for the theoretical density: 10.8 g cm⁻³. The total DFT energy (no corrections) is -20.57 eV per formula unit. The volume comes out at 18.2 A^3/atom. The calculation puts the density of states at the Fermi level at 0.64 states/eV/atom. The magnetization comes out at 0.0 μB per cell. The calculated formation energy is 0.0417 eV per atom. As for the offset from the most stable computed form: 0.263 eV per atom.

The structure belongs to space group R-3m (No. 166, hexagonal axes); the cell edges are 4.2802, 4.2802 and 20.6394 Å and the angles 90.00°, 90.00° and 120.00°. The asymmetric unit holds Pa at (0.0000, 0.0000, 0.0789), Co at (0.0000, 0.0000, 0.1905) and Cu at (0.0000, 0.0000, 0.3274).